An optimized crystal structure of SrNb2Au, computed with PBE-GGA.

The space group is I-42d (No. 122) and the conventional cell measures 4.377, 4.377 and 21.664 Å, with angles of 90.00, 90.00 and 90.00 degrees. The inequivalent atoms are Sr at (0.000, 0.000, 0.000), Nb at (0.119, 0.250, 0.625) and Au at (0.000, 0.000, 0.500).

As for the formation energy: 608 meV per atom. The size of the total moment comes out at 0.00 μB per cell. The calculation puts the density at 7.5 Mg/m³. The calculation puts the polymorph energy (0 for the lowest one) at 0 meV per atom.